DFT (PBE) results for a geometry-optimized TbDyLuSc structure.

Unit cell a=5.5005 b=5.5005 c=5.5005 alpha=60.00 beta=60.00 gamma=60.00
Last column: nearest neighbours and their distance in Å.
Positions (direct):
Sc  0.0000  0.0000  0.0000  4 Dy 3.37, 4 Tb 3.37
Lu  0.5000  0.5000  0.5000  4 Dy 3.37, 4 Tb 3.37
Tb  0.2500  0.2500  0.2500  4 Sc 3.37, 4 Lu 3.37
Dy  0.7500  0.7500  0.7500  4 Sc 3.37, 4 Lu 3.37

***

DFT (PBE) results for a geometry-optimized TeRu8 structure.

- formation energy without anion corrections (meV per atom) = 172.4

Unit cell a=6.1517 b=6.1517 c=6.1517 alpha=95.76 beta=95.76 gamma=143.06
Last column: nearest neighbours and their distance in Å.
Positions (direct):
Te  0.0000  0.0000  0.0000  12 Ru 2.84
Ru  0.3225  0.6775  0.0000  8 Ru 2.58-2.80, 2 Te 2.84
Ru  0.6775  0.3225  0.0000  8 Ru 2.58-2.80, 2 Te 2.84
Ru  0.0000  0.3442  0.3442  11 Ru 2.57-2.80, 1 Te 2.84
Ru  0.6775  0.6775  0.3549  8 Ru 2.58-2.80, 2 Te 2.84
Ru  0.3442  0.0000  0.3442  11 Ru 2.57-2.80, 1 Te 2.84
Ru  0.3225  0.3225  0.6451  8 Ru 2.58-2.80, 2 Te 2.84
Ru  0.0000  0.6558  0.6558  11 Ru 2.57-2.80, 1 Te 2.84
Ru  0.6558  0.0000  0.6558  11 Ru 2.57-2.80, 1 Te 2.84

***

The DFT total energy results, record by record, are as follows: -4.916, -8.422 eV per atom.
The volume results, record by record, are as follows: 117.68, 132.70 Å³/cell.
The D(E_F) results, record by record, are as follows: 6.57, 9.87 states/eV/f.u..